Below is NdCoTcO6 after structural relaxation, with properties calculated at the GGA+U level.

For the density of states at the Fermi level, the calculation gives 3.81 states/eV/f.u. The calculation puts the total DFT energy (no corrections) at -7.329 eV/atom.

It has space group P312 (No. 149), with a = 5.0905 Å, b = 5.0905 Å, c = 5.0621 Å, α = 90.00°, β = 90.00° and γ = 120.00°. Symmetry generates all atoms from Nd at (0.0000, 0.0000, 0.0000), Co at (0.3333, 0.6667, 0.5000), Tc at (0.6667, 0.3333, 0.5000) and O at (0.0035, 0.3771, 0.7106).